Below is MnCdReO6 after structural relaxation, with properties calculated at the PBE with a Hubbard U level.

a b c (Å): 4.7970 4.7970 9.5489
angles (deg): 90.00 90.00 90.00
With the nearest neighbours (Å) after each atom.
Fractional positions:
1 Mn 0.0000 0.0000 0.3255  6 O 1.96-2.17
2 Mn 0.5000 0.5000 0.8255  6 O 1.96-2.17
3 O 0.2876 0.2876 0.3044  1 Re 1.94, 1 Mn 1.96
4 O 0.7239 0.7239 0.6834  1 Re 1.88, 1 Mn 2.04
5 O 0.6765 0.6765 0.0150  1 Re 1.89
6 O 0.8235 0.1765 0.5150  1 Re 1.89
7 O 0.2761 0.2761 0.6834  1 Re 1.88, 1 Mn 2.04
8 O 0.7124 0.7124 0.3044  1 Re 1.94, 1 Mn 1.96
9 O 0.2239 0.7761 0.1834  1 Re 1.88, 1 Mn 2.04
10 O 0.7876 0.2124 0.8044  1 Re 1.94, 1 Mn 1.96
11 O 0.3235 0.3235 0.0150  1 Re 1.89
12 O 0.1765 0.8235 0.5150  1 Re 1.89
13 O 0.7761 0.2239 0.1834  1 Re 1.88, 1 Mn 2.04
14 O 0.2124 0.7876 0.8044  1 Re 1.94, 1 Mn 1.96
15 Cd 0.0000 0.0000 0.0012  6 O 2.20-2.37
16 Cd 0.5000 0.5000 0.5012  6 O 2.20-2.37
17 Re 0.0000 0.0000 0.6677  6 O 1.88-1.94
18 Re 0.5000 0.5000 0.1677  6 O 1.88-1.94

- VASP energy (eV/atom) = -6.968